Entry 1:
# Sr5Ag4 GGA-PBEsol optimized geometry
data_Sr5Ag4
_chemical_formula_sum 'Sr10 Ag8'
_space_group_name_H-M_alt 'P 1'
_space_group_IT_number 1
_cell_length_a 7.171
_cell_length_b 9.581
_cell_length_c 9.581
_cell_angle_alpha 120.00
_cell_angle_beta 90.00
_cell_angle_gamma 90.00
loop_
_space_group_symop_operation_xyz
'x,y,z'
loop_
_atom_site_label
_atom_site_fract_x
_atom_site_fract_y
_atom_site_fract_z
Sr1 0.250 0.733 0.733
Sr2 0.250 0.000 0.267
Sr3 0.750 0.000 0.733
Sr4 0.250 0.267 0.000
Sr5 0.750 0.733 0.000
Sr6 0.000 0.333 0.667
Sr7 0.500 0.333 0.667
Sr8 0.500 0.667 0.333
Sr9 0.750 0.267 0.267
Sr10 0.000 0.667 0.333
Ag1 0.500 0.000 0.000
Ag2 0.750 0.393 0.000
Ag3 0.750 0.607 0.607
Ag4 0.250 0.000 0.607
Ag5 0.250 0.393 0.393
Ag6 0.750 0.000 0.393
Ag7 0.000 0.000 0.000
Ag8 0.250 0.607 0.000
# Magnetic moment in μB/f.u.: 0.00
# Total DFT energy (no corrections) in eV/atom: -2.652
# N(E_F) in states/eV/f.u.: 6.03

Entry 2:
# SrAg2 GGA-PBEsol optimized geometry
data_SrAg2
_chemical_formula_sum 'Sr2 Ag4'
_space_group_name_H-M_alt 'P 1'
_space_group_IT_number 1
_cell_length_a 5.808
_cell_length_b 5.808
_cell_length_c 5.808
_cell_angle_alpha 60.00
_cell_angle_beta 60.00
_cell_angle_gamma 60.00
loop_
_space_group_symop_operation_xyz
'x,y,z'
loop_
_atom_site_label
_atom_site_fract_x
_atom_site_fract_y
_atom_site_fract_z
Ag1 0.125 0.125 0.625
Ag2 0.625 0.125 0.125
Ag3 0.125 0.625 0.125
Ag4 0.125 0.125 0.125
Sr1 0.500 0.500 0.500
Sr2 0.750 0.750 0.750
# Magnetic moment in μB/f.u.: 0.00
# Total DFT energy (no corrections) in eV/atom: -3.022
# N(E_F) in states/eV/f.u.: 2.55

Entry 3:
# Sr8Ag GGA-PBEsol optimized geometry
data_Sr8Ag
_chemical_formula_sum 'Sr8 Ag1'
_space_group_name_H-M_alt 'P 1'
_space_group_IT_number 1
_cell_length_a 4.402
_cell_length_b 9.893
_cell_length_c 9.893
_cell_angle_alpha 87.16
_cell_angle_beta 77.14
_cell_angle_gamma 77.14
loop_
_space_group_symop_operation_xyz
'x,y,z'
loop_
_atom_site_label
_atom_site_fract_x
_atom_site_fract_y
_atom_site_fract_z
Sr1 0.647 0.000 0.706
Sr2 0.353 0.000 0.294
Sr3 0.000 0.335 0.665
Sr4 0.647 0.706 0.000
Sr5 0.000 0.665 0.335
Sr6 0.353 0.294 0.000
Sr7 0.335 0.665 0.665
Sr8 0.665 0.335 0.335
Ag1 0.000 0.000 0.000
# Magnetic moment in μB/f.u.: 0.00
# Total DFT energy (no corrections) in eV/atom: -1.982
# N(E_F) in states/eV/f.u.: 9.03

Entry 4:
# Sr2Ag GGA-PBEsol optimized geometry
data_Sr2Ag
_chemical_formula_sum 'Sr4 Ag2'
_space_group_name_H-M_alt 'P 1'
_space_group_IT_number 1
_cell_length_a 6.559
_cell_length_b 6.559
_cell_length_c 6.559
_cell_angle_alpha 107.10
_cell_angle_beta 107.10
_cell_angle_gamma 114.33
loop_
_space_group_symop_operation_xyz
'x,y,z'
loop_
_atom_site_label
_atom_site_fract_x
_atom_site_fract_y
_atom_site_fract_z
Sr1 0.320 0.180 0.500
Sr2 0.180 0.680 0.859
Sr3 0.680 0.820 0.500
Sr4 0.820 0.320 0.141
Ag1 0.750 0.750 0.000
Ag2 0.250 0.250 0.000
# Magnetic moment in μB/f.u.: 0.00
# Polymorph energy (0 for the lowest one) in meV/atom: 0
# Total DFT energy (no corrections) in eV/atom: -2.497
# N(E_F) in states/eV/f.u.: 2.52

Entry 5:
# Sr2Ag GGA-PBEsol optimized geometry
data_Sr2Ag
_chemical_formula_sum 'Sr8 Ag4'
_space_group_name_H-M_alt 'P 1'
_space_group_IT_number 1
_cell_length_a 7.764
_cell_length_b 7.764
_cell_length_c 7.764
_cell_angle_alpha 90.00
_cell_angle_beta 90.00
_cell_angle_gamma 90.00
loop_
_space_group_symop_operation_xyz
'x,y,z'
loop_
_atom_site_label
_atom_site_fract_x
_atom_site_fract_y
_atom_site_fract_z
Ag1 0.500 0.500 0.000
Ag2 0.000 0.000 0.000
Ag3 0.000 0.500 0.500
Ag4 0.500 0.000 0.500
Sr1 0.840 0.340 0.160
Sr2 0.340 0.160 0.840
Sr3 0.660 0.660 0.660
Sr4 0.660 0.840 0.160
Sr5 0.160 0.840 0.340
Sr6 0.160 0.660 0.840
Sr7 0.840 0.160 0.660
Sr8 0.340 0.340 0.340
# Magnetic moment in μB/f.u.: 0.00
# Polymorph energy (0 for the lowest one) in meV/atom: 48
# Total DFT energy (no corrections) in eV/atom: -2.449
# N(E_F) in states/eV/f.u.: 2.22

Entry 6:
# SrAg5 GGA-PBEsol optimized geometry
data_SrAg5
_chemical_formula_sum 'Sr1 Ag5'
_space_group_name_H-M_alt 'P 1'
_space_group_IT_number 1
_cell_length_a 4.564
_cell_length_b 5.613
_cell_length_c 5.613
_cell_angle_alpha 120.00
_cell_angle_beta 90.00
_cell_angle_gamma 90.00
loop_
_space_group_symop_operation_xyz
'x,y,z'
loop_
_atom_site_label
_atom_site_fract_x
_atom_site_fract_y
_atom_site_fract_z
Ag1 0.500 0.667 0.333
Ag2 0.000 0.500 0.500
Ag3 0.500 0.333 0.667
Ag4 0.000 0.500 0.000
Ag5 0.000 0.000 0.500
Sr1 0.500 0.000 0.000
# Magnetic moment in μB/f.u.: 0.00
# Total DFT energy (no corrections) in eV/atom: -3.241
# N(E_F) in states/eV/f.u.: 2.25

Entry 7:
# Sr2Ag GGA-PBEsol optimized geometry
data_Sr2Ag
_chemical_formula_sum 'Sr4 Ag2'
_space_group_name_H-M_alt 'P 1'
_space_group_IT_number 1
_cell_length_a 4.498
_cell_length_b 7.259
_cell_length_c 7.618
_cell_angle_alpha 90.00
_cell_angle_beta 90.00
_cell_angle_gamma 90.00
loop_
_space_group_symop_operation_xyz
'x,y,z'
loop_
_atom_site_label
_atom_site_fract_x
_atom_site_fract_y
_atom_site_fract_z
Ag1 0.500 0.500 0.500
Ag2 0.000 0.000 0.000
Sr1 0.000 0.747 0.335
Sr2 0.500 0.247 0.165
Sr3 0.500 0.753 0.835
Sr4 0.000 0.253 0.665
# Magnetic moment in μB/f.u.: 0.00
# Polymorph energy (0 for the lowest one) in meV/atom: 49
# Total DFT energy (no corrections) in eV/atom: -2.448
# N(E_F) in states/eV/f.u.: 1.78

Entry 8:
# Sr3Ag GGA-PBEsol optimized geometry
data_Sr3Ag
_chemical_formula_sum 'Sr3 Ag1'
_space_group_name_H-M_alt 'P 1'
_space_group_IT_number 1
_cell_length_a 3.951
_cell_length_b 3.951
_cell_length_c 10.112
_cell_angle_alpha 90.00
_cell_angle_beta 90.00
_cell_angle_gamma 90.08
loop_
_space_group_symop_operation_xyz
'x,y,z'
loop_
_atom_site_label
_atom_site_fract_x
_atom_site_fract_y
_atom_site_fract_z
Sr1 0.500 0.500 0.182
Sr2 0.500 0.500 0.818
Sr3 0.000 0.000 0.500
Ag1 0.000 0.000 0.000
# Magnetic moment in μB/f.u.: 0.00
# Polymorph energy (0 for the lowest one) in meV/atom: 35
# Total DFT energy (no corrections) in eV/atom: -2.319
# N(E_F) in states/eV/f.u.: 3.84

Entry 9:
# Sr2Ag GGA-PBEsol optimized geometry
data_Sr2Ag
_chemical_formula_sum 'Sr2 Ag1'
_space_group_name_H-M_alt 'P 1'
_space_group_IT_number 1
_cell_length_a 3.908
_cell_length_b 3.908
_cell_length_c 7.528
_cell_angle_alpha 105.04
_cell_angle_beta 105.04
_cell_angle_gamma 90.00
loop_
_space_group_symop_operation_xyz
'x,y,z'
loop_
_atom_site_label
_atom_site_fract_x
_atom_site_fract_y
_atom_site_fract_z
Sr1 0.133 0.133 0.265
Sr2 0.867 0.867 0.735
Ag1 0.500 0.500 0.000
# Magnetic moment in μB/f.u.: 0.00
# Polymorph energy (0 for the lowest one) in meV/atom: 11
# Total DFT energy (no corrections) in eV/atom: -2.486
# N(E_F) in states/eV/f.u.: 2.97

Entry 10:
# SrAg2 GGA-PBEsol optimized geometry
data_SrAg2
_chemical_formula_sum 'Sr1 Ag2'
_space_group_name_H-M_alt 'P 1'
_space_group_IT_number 1
_cell_length_a 5.076
_cell_length_b 5.076
_cell_length_c 5.076
_cell_angle_alpha 60.00
_cell_angle_beta 60.00
_cell_angle_gamma 60.00
loop_
_space_group_symop_operation_xyz
'x,y,z'
loop_
_atom_site_label
_atom_site_fract_x
_atom_site_fract_y
_atom_site_fract_z
Ag1 0.250 0.250 0.250
Ag2 0.750 0.750 0.750
Sr1 0.000 0.000 0.000
# Magnetic moment in μB/f.u.: 0.00
# Total DFT energy (no corrections) in eV/atom: -2.536
# N(E_F) in states/eV/f.u.: 0.89

Entry 11:
# SrTaAg2 GGA-PBEsol optimized geometry
data_SrTaAg2
_chemical_formula_sum 'Sr1 Ta1 Ag2'
_space_group_name_H-M_alt 'P 1'
_space_group_IT_number 1
_cell_length_a 3.053
_cell_length_b 3.053
_cell_length_c 10.227
_cell_angle_alpha 81.41
_cell_angle_beta 81.41
_cell_angle_gamma 60.00
loop_
_space_group_symop_operation_xyz
'x,y,z'
loop_
_atom_site_label
_atom_site_fract_x
_atom_site_fract_y
_atom_site_fract_z
Ag1 0.257 0.257 0.228
Ag2 0.743 0.743 0.772
Sr1 0.500 0.500 0.500
Ta1 0.000 0.000 0.000
# Magnetic moment in μB/f.u.: 0.00
# Polymorph energy (0 for the lowest one) in meV/atom: 52
# Total DFT energy (no corrections) in eV/atom: -4.674
# N(E_F) in states/eV/f.u.: 3.92

Entry 12:
# SrTaAg2 GGA-PBEsol optimized geometry
data_SrTaAg2
_chemical_formula_sum 'Sr1 Ta1 Ag2'
_space_group_name_H-M_alt 'P 1'
_space_group_IT_number 1
_cell_length_a 2.946
_cell_length_b 5.178
_cell_length_c 6.206
_cell_angle_alpha 114.66
_cell_angle_beta 103.73
_cell_angle_gamma 90.00
loop_
_space_group_symop_operation_xyz
'x,y,z'
loop_
_atom_site_label
_atom_site_fract_x
_atom_site_fract_y
_atom_site_fract_z
Ag1 0.725 0.225 0.450
Ag2 0.006 0.006 0.013
Ta1 0.278 0.778 0.556
Sr1 0.490 0.490 0.981
# Magnetic moment in μB/f.u.: 0.00
# Polymorph energy (0 for the lowest one) in meV/atom: 0
# Total DFT energy (no corrections) in eV/atom: -4.726
# N(E_F) in states/eV/f.u.: 2.82

Entry 13:
# SrTcAg2 GGA-PBEsol optimized geometry
data_SrTcAg2
_chemical_formula_sum 'Sr1 Tc1 Ag2'
_space_group_name_H-M_alt 'P 1'
_space_group_IT_number 1
_cell_length_a 2.788
_cell_length_b 4.759
_cell_length_c 5.928
_cell_angle_alpha 90.00
_cell_angle_beta 102.95
_cell_angle_gamma 90.00
loop_
_space_group_symop_operation_xyz
'x,y,z'
loop_
_atom_site_label
_atom_site_fract_x
_atom_site_fract_y
_atom_site_fract_z
Tc1 0.222 0.500 0.813
Ag1 0.813 0.000 0.972
Ag2 0.922 0.500 0.234
Sr1 0.542 0.000 0.481
# Magnetic moment in μB/f.u.: 0.00
# Polymorph energy (0 for the lowest one) in meV/atom: 0
# Total DFT energy (no corrections) in eV/atom: -4.367
# N(E_F) in states/eV/f.u.: 3.32

Entry 14:
# SrTcAg2 GGA-PBEsol optimized geometry
data_SrTcAg2
_chemical_formula_sum 'Sr1 Tc1 Ag2'
_space_group_name_H-M_alt 'P 1'
_space_group_IT_number 1
_cell_length_a 2.792
_cell_length_b 5.127
_cell_length_c 5.752
_cell_angle_alpha 97.13
_cell_angle_beta 90.00
_cell_angle_gamma 105.80
loop_
_space_group_symop_operation_xyz
'x,y,z'
loop_
_atom_site_label
_atom_site_fract_x
_atom_site_fract_y
_atom_site_fract_z
Ag1 0.763 0.526 0.798
Ag2 0.237 0.474 0.202
Sr1 0.000 0.000 0.500
Tc1 0.500 0.000 0.000
# Magnetic moment in μB/f.u.: 0.00
# Polymorph energy (0 for the lowest one) in meV/atom: 45
# Total DFT energy (no corrections) in eV/atom: -4.322
# N(E_F) in states/eV/f.u.: 3.52

Entry 15:
# SrTcAg3 GGA-PBEsol optimized geometry
data_SrTcAg3
_chemical_formula_sum 'Sr1 Tc1 Ag3'
_space_group_name_H-M_alt 'P 1'
_space_group_IT_number 1
_cell_length_a 5.032
_cell_length_b 5.032
_cell_length_c 5.032
_cell_angle_alpha 90.00
_cell_angle_beta 90.00
_cell_angle_gamma 90.00
loop_
_space_group_symop_operation_xyz
'x,y,z'
loop_
_atom_site_label
_atom_site_fract_x
_atom_site_fract_y
_atom_site_fract_z
Tc1 0.000 0.000 0.000
Ag1 0.500 0.000 0.000
Ag2 0.000 0.000 0.500
Ag3 0.000 0.500 0.000
Sr1 0.500 0.500 0.500
# Magnetic moment in μB/f.u.: 2.15
# Total DFT energy (no corrections) in eV/atom: -3.828
# N(E_F) in states/eV/f.u.: 3.74

Entry 16:
# Sr2AgTe GGA-PBEsol optimized geometry
data_Sr2AgTe
_chemical_formula_sum 'Sr2 Ag1 Te1'
_space_group_name_H-M_alt 'P 1'
_space_group_IT_number 1
_cell_length_a 4.446
_cell_length_b 4.736
_cell_length_c 6.474
_cell_angle_alpha 90.00
_cell_angle_beta 110.08
_cell_angle_gamma 90.00
loop_
_space_group_symop_operation_xyz
'x,y,z'
loop_
_atom_site_label
_atom_site_fract_x
_atom_site_fract_y
_atom_site_fract_z
Sr1 0.016 0.000 0.032
Sr2 0.741 0.500 0.483
Ag1 0.280 0.000 0.561
Te1 0.462 0.500 0.924
# Magnetic moment in μB/f.u.: 0.00
# Raw formation energy in eV per atom: -0.839
# Total DFT energy (no corrections) in eV/atom: -3.468
# N(E_F) in states/eV/f.u.: 2.04

Entry 17:
# Sr2AgTe GGA-PBEsol optimized geometry
data_Sr2AgTe
_chemical_formula_sum 'Sr2 Ag1 Te1'
_space_group_name_H-M_alt 'P 1'
_space_group_IT_number 1
_cell_length_a 4.304
_cell_length_b 4.226
_cell_length_c 8.268
_cell_angle_alpha 104.81
_cell_angle_beta 105.09
_cell_angle_gamma 90.00
loop_
_space_group_symop_operation_xyz
'x,y,z'
loop_
_atom_site_label
_atom_site_fract_x
_atom_site_fract_y
_atom_site_fract_z
Sr1 0.955 0.955 0.910
Sr2 0.709 0.209 0.418
Te1 0.542 0.542 0.084
Ag1 0.294 0.794 0.587
# Magnetic moment in μB/f.u.: 0.00
# Raw formation energy in eV per atom: -0.759
# Total DFT energy (no corrections) in eV/atom: -3.388
# N(E_F) in states/eV/f.u.: 1.74

Entry 18:
# Sr2AgTe GGA-PBEsol optimized geometry
data_Sr2AgTe
_chemical_formula_sum 'Sr2 Ag1 Te1'
_space_group_name_H-M_alt 'P 1'
_space_group_IT_number 1
_cell_length_a 4.602
_cell_length_b 4.602
_cell_length_c 8.041
_cell_angle_alpha 73.37
_cell_angle_beta 73.37
_cell_angle_gamma 60.00
loop_
_space_group_symop_operation_xyz
'x,y,z'
loop_
_atom_site_label
_atom_site_fract_x
_atom_site_fract_y
_atom_site_fract_z
Ag1 0.000 0.000 0.000
Te1 0.500 0.500 0.500
Sr1 0.252 0.252 0.243
Sr2 0.748 0.748 0.757
# Magnetic moment in μB/f.u.: 0.00
# Raw formation energy in eV per atom: -0.832
# Total DFT energy (no corrections) in eV/atom: -3.462
# N(E_F) in states/eV/f.u.: 2.23

Entry 19:
# Sr2AgTe GGA-PBEsol optimized geometry
data_Sr2AgTe
_chemical_formula_sum 'Sr2 Ag1 Te1'
_space_group_name_H-M_alt 'P 1'
_space_group_IT_number 1
_cell_length_a 4.060
_cell_length_b 5.466
_cell_length_c 5.466
_cell_angle_alpha 90.00
_cell_angle_beta 90.00
_cell_angle_gamma 90.00
loop_
_space_group_symop_operation_xyz
'x,y,z'
loop_
_atom_site_label
_atom_site_fract_x
_atom_site_fract_y
_atom_site_fract_z
Te1 0.500 0.500 0.500
Sr1 0.000 0.500 0.000
Sr2 0.000 0.000 0.500
Ag1 0.500 0.000 0.000
# Magnetic moment in μB/f.u.: 0.00
# Raw formation energy in eV per atom: -0.833
# Total DFT energy (no corrections) in eV/atom: -3.462
# N(E_F) in states/eV/f.u.: 1.74

Entry 20:
# Sr3TlAg GGA-PBEsol optimized geometry
data_Sr3TlAg
_chemical_formula_sum 'Sr3 Tl1 Ag1'
_space_group_name_H-M_alt 'P 1'
_space_group_IT_number 1
_cell_length_a 6.208
_cell_length_b 6.208
_cell_length_c 6.208
_cell_angle_alpha 90.00
_cell_angle_beta 90.00
_cell_angle_gamma 90.00
loop_
_space_group_symop_operation_xyz
'x,y,z'
loop_
_atom_site_label
_atom_site_fract_x
_atom_site_fract_y
_atom_site_fract_z
Tl1 0.000 0.000 0.000
Sr1 0.000 0.500 0.000
Sr2 0.000 0.000 0.500
Sr3 0.500 0.000 0.000
Ag1 0.500 0.500 0.500
# Magnetic moment in μB/f.u.: 0.00
# Total DFT energy (no corrections) in eV/atom: -2.127
# N(E_F) in states/eV/f.u.: 3.90